[1]
# HoMg2H6

HoMg2H6 after structural relaxation (GGA-PBE, Alexandria).

Values from the calculation:
- crystal system = cubic
- raw total energy (eV per atom) = -2.84

a b c (Å): 5.3107 5.3107 5.3107
angles (deg): 60.00 60.00 60.00
Sites, in units of the cell vectors:
Mg1 0.7500 0.7500 0.7500
H1 0.7253 0.2747 0.7253
H2 0.2747 0.7253 0.2747
Mg2 0.2500 0.2500 0.2500
H3 0.7253 0.7253 0.2747
H4 0.2747 0.2747 0.7253
H5 0.7253 0.2747 0.2747
H6 0.2747 0.7253 0.7253
Ho1 0.0000 0.0000 0.0000

---

[2]
# HoMg2MoH8

HoMg2MoH8 after structural relaxation (GGA-PBE, Alexandria).

Values from the calculation:
- crystal system = tetragonal
- raw total energy (eV per atom) = -4.03

a b c (Å): 4.7401 4.7401 5.7094
angles (deg): 114.53 114.53 90.00
Sites, in units of the cell vectors:
H1 0.1191 0.6334 0.7245
H2 0.9089 0.3945 0.2755
H3 0.3666 0.8809 0.2755
Mo1 0.2500 0.7500 0.5000
H4 0.6055 0.6334 0.7245
H5 0.3666 0.3945 0.2755
Mg1 0.0000 0.0000 0.0000
H6 0.6055 0.0911 0.7245
H7 0.9089 0.8809 0.2755
Mg2 0.7500 0.2500 0.5000
Ho1 0.5000 0.5000 0.0000
H8 0.1191 0.0911 0.7245

---

[3]
# HoMnH

HoMnH after structural relaxation (GGA-PBE, Alexandria).

Values from the calculation:
- crystal system = orthorhombic
- raw total energy (eV per atom) = -5.62

a b c (Å): 3.0513 3.3821 8.1804
angles (deg): 90.00 100.75 90.00
Sites, in units of the cell vectors:
Ho1 0.0974 0.2500 0.1948
Ho2 0.9026 0.7500 0.8052
Mn1 0.2445 0.7500 0.4889
Mn2 0.7555 0.2500 0.5111
H1 0.4507 0.2500 0.9013
H2 0.5493 0.7500 0.0987

---

[4]
# Ho3Mn5H12

Ho3Mn5H12 after structural relaxation (GGA-PBE, Alexandria).

Values from the calculation:
- crystal system = cubic
- raw total energy (eV per atom) = -5.19

a b c (Å): 9.7553 9.7553 9.7553
angles (deg): 109.47 109.47 109.47
Last column: magnetic moment on the atom in μB.
Sites, in units of the cell vectors:
H1 0.1650 0.0837 0.9732  -0.01
Mn1 0.8750 0.6250 0.7500  3.11
H2 0.4732 0.8082 0.8895  -0.01
Mn2 0.6250 0.8750 0.2500  3.11
Ho1 0.1250 0.2500 0.8750  -0.27
H3 0.1918 0.5268 0.6105  -0.01
Mn3 0.0000 0.5000 0.5000  0.72
H4 0.9188 0.0837 0.6105  -0.01
H5 0.0268 0.6105 0.6918  -0.01
H6 0.5837 0.6105 0.4188  -0.01
H7 0.0812 0.1650 0.1918  -0.01
Mn4 0.3750 0.1250 0.7500  3.11
H8 0.4188 0.1105 0.5837  -0.01
Mn5 0.0000 0.5000 0.0000  0.72
H9 0.8895 0.5812 0.9163  -0.01
H10 0.8350 0.9163 0.0268  -0.01
Mn6 0.5000 0.0000 0.5000  0.72
Ho2 0.6250 0.2500 0.3750  -0.27
H11 0.5837 0.9732 0.6650  -0.01
H12 0.5268 0.3350 0.9163  -0.01
H13 0.9163 0.0812 0.8895  -0.01
Ho3 0.8750 0.7500 0.1250  -0.27
Mn7 0.1250 0.7500 0.3750  3.11
H14 0.6650 0.1918 0.5812  -0.01
Mn8 0.6250 0.7500 0.8750  3.11
H15 0.8082 0.4732 0.3895  -0.01
H16 0.6105 0.0268 0.1918  -0.01
H17 0.9732 0.3895 0.3082  -0.01
H18 0.6650 0.4732 0.5837  -0.01
Mn9 0.5000 0.5000 0.0000  0.72
H19 0.6918 0.5812 0.1650  -0.01
H20 0.8350 0.9188 0.3082  -0.01
Mn10 0.5000 0.0000 0.0000  0.72
H21 0.4188 0.3082 0.3350  -0.01
Ho4 0.1250 0.8750 0.7500  -0.27
Mn11 0.7500 0.1250 0.8750  3.11
H22 0.1105 0.6918 0.5268  -0.01
H23 0.4732 0.6650 0.0837  -0.01
Ho5 0.2500 0.1250 0.3750  -0.27
H24 0.3350 0.8082 0.4188  -0.01
H25 0.3895 0.9732 0.8082  -0.01
H26 0.5268 0.1918 0.1105  -0.01
Mn12 0.5000 0.5000 0.5000  0.72
Ho6 0.6250 0.3750 0.7500  -0.27
Mn13 0.0000 0.0000 0.5000  0.72
H27 0.4163 0.0268 0.3350  -0.01
H28 0.5812 0.6918 0.6650  -0.01
H29 0.8895 0.3082 0.4732  -0.01
H30 0.6918 0.1105 0.0268  -0.01
Mn14 0.8750 0.2500 0.6250  3.11
Mn15 0.2500 0.8750 0.1250  3.11
H31 0.0837 0.1650 0.4732  -0.01
H32 0.5812 0.8895 0.4163  -0.01
H33 0.3082 0.8895 0.9732  -0.01
H34 0.6105 0.5837 0.9188  -0.01
H35 0.3895 0.4163 0.0812  -0.01
H36 0.8082 0.3350 0.9188  -0.01
Ho7 0.7500 0.8750 0.6250  -0.27
H37 0.9188 0.8350 0.8082  -0.01
H38 0.1918 0.6650 0.0812  -0.01
H39 0.1105 0.4188 0.0837  -0.01
H40 0.3350 0.5268 0.4163  -0.01
H41 0.0268 0.4163 0.8350  -0.01
Ho8 0.8750 0.1250 0.2500  -0.27
Ho9 0.7500 0.3750 0.1250  -0.27
H42 0.9163 0.8350 0.5268  -0.01
H43 0.0812 0.9163 0.3895  -0.01
H44 0.4163 0.3895 0.5812  -0.01
H45 0.3082 0.4188 0.8350  -0.01
Ho10 0.2500 0.6250 0.8750  -0.27
H46 0.0837 0.9188 0.1105  -0.01
Mn16 0.0000 0.0000 0.0000  0.72
Mn17 0.3750 0.2500 0.1250  3.11
H47 0.9732 0.5837 0.1650  -0.01
Mn18 0.1250 0.3750 0.2500  3.11
Mn19 0.7500 0.6250 0.3750  3.11
Ho11 0.3750 0.6250 0.2500  -0.27
Ho12 0.3750 0.7500 0.6250  -0.27
Mn20 0.2500 0.3750 0.6250  3.11
H48 0.1650 0.0812 0.6918  -0.01

---

> Which of these has the highest raw total energy?

HoMg2H6

---

What did the second record say?
# HoMg2MoH8

HoMg2MoH8 after structural relaxation (GGA-PBE, Alexandria).

Values from the calculation:
- crystal system = tetragonal
- raw total energy (eV per atom) = -4.03

a b c (Å): 4.7401 4.7401 5.7094
angles (deg): 114.53 114.53 90.00
Sites, in units of the cell vectors:
H1 0.1191 0.6334 0.7245
H2 0.9089 0.3945 0.2755
H3 0.3666 0.8809 0.2755
Mo1 0.2500 0.7500 0.5000
H4 0.6055 0.6334 0.7245
H5 0.3666 0.3945 0.2755
Mg1 0.0000 0.0000 0.0000
H6 0.6055 0.0911 0.7245
H7 0.9089 0.8809 0.2755
Mg2 0.7500 0.2500 0.5000
Ho1 0.5000 0.5000 0.0000
H8 0.1191 0.0911 0.7245

---

> Which formula does entry 2 have?

HoMg2MoH8